# ZnCdTc | Alexandria via LeMat-Bulk | PBEsol | optimized geometry
data_ZnCdTc
_cell_length_a 3.165
_cell_length_b 4.386
_cell_length_c 13.528
_cell_angle_alpha 90.00
_cell_angle_beta 90.00
_cell_angle_gamma 90.00
_space_group_name_H-M_alt 'P 1'
_space_group_IT_number 1
loop_
_space_group_symop_operation_xyz
'x,y,z'
loop_
_atom_site_label
_atom_site_fract_x
_atom_site_fract_y
_atom_site_fract_z
Zn1 0.000 0.000 0.000
Zn2 0.000 0.500 0.500
Zn3 0.500 0.000 0.500
Zn4 0.500 0.500 0.000
Cd1 0.000 0.000 0.675
Cd2 0.000 0.500 0.175
Cd3 0.500 0.000 0.175
Cd4 0.500 0.500 0.675
Tc1 0.000 0.000 0.349
Tc2 0.000 0.500 0.849
Tc3 0.500 0.000 0.849
Tc4 0.500 0.500 0.349
# Formation energy from the elements in kJ/mol of atoms: 29.13

---

# TaIr2 | Alexandria via LeMat-Bulk | PBEsol | optimized geometry
data_TaIr2
_cell_length_a 12.299
_cell_length_b 12.299
_cell_length_c 12.299
_cell_angle_alpha 161.86
_cell_angle_beta 161.86
_cell_angle_gamma 25.76
_space_group_name_H-M_alt 'P 1'
_space_group_IT_number 1
loop_
_space_group_symop_operation_xyz
'x,y,z'
loop_
_atom_site_label
_atom_site_fract_x
_atom_site_fract_y
_atom_site_fract_z
Ta1 0.297 0.547 0.750
Ta2 0.453 0.703 0.750
Ta3 0.547 0.297 0.250
Ta4 0.703 0.453 0.250
Ir1 0.042 0.792 0.250
Ir2 0.125 0.375 0.750
Ir3 0.208 0.958 0.250
Ir4 0.375 0.125 0.250
Ir5 0.625 0.875 0.750
Ir6 0.792 0.042 0.750
Ir7 0.875 0.625 0.250
Ir8 0.958 0.208 0.750
# Formation energy from the elements in kJ/mol of atoms: -64.00

---

# Ca2MgAu | Alexandria via LeMat-Bulk | PBEsol | optimized geometry
data_Ca2MgAu
_cell_length_a 3.608
_cell_length_b 5.265
_cell_length_c 11.253
_cell_angle_alpha 90.00
_cell_angle_beta 90.00
_cell_angle_gamma 90.00
_space_group_name_H-M_alt 'P 1'
_space_group_IT_number 1
loop_
_space_group_symop_operation_xyz
'x,y,z'
loop_
_atom_site_label
_atom_site_fract_x
_atom_site_fract_y
_atom_site_fract_z
Ca1 0.000 0.000 0.000
Ca2 0.000 0.500 0.199
Ca3 0.500 0.000 0.699
Ca4 0.500 0.500 0.500
Mg1 0.000 0.500 0.797
Mg2 0.500 0.000 0.297
Au1 0.000 0.000 0.482
Au2 0.500 0.500 0.982
# Formation energy from the elements in kJ/mol of atoms: -37.85

---

# Cr2CoNi | Alexandria via LeMat-Bulk | PBEsol | optimized geometry
data_Cr2CoNi
_cell_length_a 2.435
_cell_length_b 3.969
_cell_length_c 4.348
_cell_angle_alpha 90.00
_cell_angle_beta 90.00
_cell_angle_gamma 90.00
_space_group_name_H-M_alt 'P 1'
_space_group_IT_number 1
loop_
_space_group_symop_operation_xyz
'x,y,z'
loop_
_atom_site_label
_atom_site_fract_x
_atom_site_fract_y
_atom_site_fract_z
Cr1 0.000 0.000 0.000
Cr2 0.000 0.500 0.335
Co1 0.500 0.000 0.502
Ni1 0.500 0.500 0.832
# ΔE to the lowest computed polymorph in eV per atom: 0.000
# Formation energy from the elements in kJ/mol of atoms: 0.89

---

# Zr3Si | Alexandria via LeMat-Bulk | PBEsol | optimized geometry
data_Zr3Si
_cell_length_a 3.193
_cell_length_b 3.193
_cell_length_c 27.764
_cell_angle_alpha 90.00
_cell_angle_beta 90.00
_cell_angle_gamma 120.00
_space_group_name_H-M_alt 'P 1'
_space_group_IT_number 1
loop_
_space_group_symop_operation_xyz
'x,y,z'
loop_
_atom_site_label
_atom_site_fract_x
_atom_site_fract_y
_atom_site_fract_z
Zr1 0.000 0.000 0.000
Zr2 0.000 0.000 0.243
Zr3 0.000 0.000 0.757
Zr4 0.333 0.667 0.424
Zr5 0.333 0.667 0.667
Zr6 0.333 0.667 0.910
Zr7 0.667 0.333 0.090
Zr8 0.667 0.333 0.333
Zr9 0.667 0.333 0.576
Si1 0.000 0.000 0.500
Si2 0.333 0.667 0.167
Si3 0.667 0.333 0.833
# Energy relative to the elements, uncorrected in eV per atom: -0.1436

---

# Ir3W2 | Alexandria via LeMat-Bulk | PBEsol | optimized geometry
data_Ir3W2
_cell_length_a 2.745
_cell_length_b 2.745
_cell_length_c 33.717
_cell_angle_alpha 90.00
_cell_angle_beta 90.00
_cell_angle_gamma 120.00
_space_group_name_H-M_alt 'P 1'
_space_group_IT_number 1
loop_
_space_group_symop_operation_xyz
'x,y,z'
loop_
_atom_site_label
_atom_site_fract_x
_atom_site_fract_y
_atom_site_fract_z
Ir1 0.000 0.000 0.000
Ir2 0.000 0.000 0.201
Ir3 0.000 0.000 0.799
Ir4 0.333 0.667 0.465
Ir5 0.333 0.667 0.667
Ir6 0.333 0.667 0.868
Ir7 0.667 0.333 0.132
Ir8 0.667 0.333 0.333
Ir9 0.667 0.333 0.535
W1 0.000 0.000 0.401
W2 0.000 0.000 0.599
W3 0.333 0.667 0.067
W4 0.333 0.667 0.266
W5 0.667 0.333 0.734
W6 0.667 0.333 0.933
# Formation energy from the elements in kJ/mol of atoms: -11.54

---

# MgZrSc | Alexandria via LeMat-Bulk | PBEsol | optimized geometry
data_MgZrSc
_cell_length_a 3.167
_cell_length_b 3.167
_cell_length_c 7.889
_cell_angle_alpha 90.00
_cell_angle_beta 90.00
_cell_angle_gamma 120.00
_space_group_name_H-M_alt 'P 1'
_space_group_IT_number 1
loop_
_space_group_symop_operation_xyz
'x,y,z'
loop_
_atom_site_label
_atom_site_fract_x
_atom_site_fract_y
_atom_site_fract_z
Mg1 0.000 0.000 0.000
Zr1 0.667 0.333 0.339
Sc1 0.333 0.667 0.654
# ΔE to the lowest computed polymorph in eV per atom: 0.056
# Formation energy from the elements in kJ/mol of atoms: 1.73

---

# NiTe2WI | Alexandria via LeMat-Bulk | PBEsol | optimized geometry
data_NiTe2WI
_cell_length_a 5.138
_cell_length_b 5.138
_cell_length_c 5.591
_cell_angle_alpha 90.00
_cell_angle_beta 90.00
_cell_angle_gamma 90.00
_space_group_name_H-M_alt 'P 1'
_space_group_IT_number 1
loop_
_space_group_symop_operation_xyz
'x,y,z'
loop_
_atom_site_label
_atom_site_fract_x
_atom_site_fract_y
_atom_site_fract_z
Ni1 0.000 0.000 0.000
Te1 0.000 0.500 0.500
Te2 0.500 0.000 0.500
W1 0.500 0.500 0.500
I1 0.500 0.500 0.000
# Energy relative to the elements, uncorrected in eV per atom: 1.2201

---

# HfI2N2 | Alexandria via LeMat-Bulk | PBEsol | optimized geometry
data_HfI2N2
_cell_length_a 5.735
_cell_length_b 5.735
_cell_length_c 3.991
_cell_angle_alpha 90.00
_cell_angle_beta 90.00
_cell_angle_gamma 90.00
_space_group_name_H-M_alt 'P 1'
_space_group_IT_number 1
loop_
_space_group_symop_operation_xyz
'x,y,z'
loop_
_atom_site_label
_atom_site_fract_x
_atom_site_fract_y
_atom_site_fract_z
Hf1 0.000 0.000 0.000
I1 0.000 0.500 0.000
I2 0.500 0.000 0.000
N1 0.000 0.000 0.500
N2 0.500 0.500 0.500
# Energy relative to the elements, uncorrected in eV per atom: 0.7610

---

# ZnCrGe2O6 | Alexandria via LeMat-Bulk | PBEsol | optimized geometry
data_ZnCrGe2O6
_cell_length_a 5.127
_cell_length_b 6.481
_cell_length_c 6.677
_cell_angle_alpha 83.62
_cell_angle_beta 83.15
_cell_angle_gamma 79.10
_space_group_name_H-M_alt 'P 1'
_space_group_IT_number 1
loop_
_space_group_symop_operation_xyz
'x,y,z'
loop_
_atom_site_label
_atom_site_fract_x
_atom_site_fract_y
_atom_site_fract_z
Zn1 0.233 0.308 0.227
Zn2 0.767 0.692 0.773
Cr1 0.254 0.906 0.586
Cr2 0.746 0.094 0.414
Ge1 0.155 0.849 0.072
Ge2 0.325 0.386 0.721
Ge3 0.675 0.614 0.279
Ge4 0.845 0.151 0.928
O1 0.115 0.982 0.317
O2 0.118 0.310 0.937
O3 0.147 0.628 0.626
O4 0.360 0.602 0.200
O5 0.372 0.197 0.537
O6 0.399 0.848 0.847
O7 0.601 0.152 0.153
O8 0.628 0.803 0.463
O9 0.640 0.398 0.800
O10 0.853 0.372 0.374
O11 0.882 0.690 0.063
O12 0.885 0.018 0.683
# Energy relative to the elements, uncorrected in eV per atom: -1.5917
# ΔE to the lowest computed polymorph in eV per atom: 0.000